Density functional theory data (GGA-PBE) for crystalline Na2AgSnCl6 at its relaxed geometry.

Results
E_tot	-0.118	hartree per atom
space-group type	No. 146
ΔE_f (raw)	-112	kJ per mole of atoms

Geometry as extended XYZ:
```
10
Lattice="3.4855 2.0124 6.2705 -3.4855 2.0124 6.2705 0.0000 -4.0247 6.2705" Properties=species:S:1:pos:R:3 pbc="T T T"
Na 0.0000 0.0000 0.0000
Na 0.0000 0.0000 9.3285
Ag 0.0000 0.0000 5.6027
Sn 0.0000 0.0000 15.0781
Cl -2.1358 -0.2402 7.3587
Cl -1.3891 -2.1724 10.4784
Cl 1.2759 -1.7295 7.3587
Cl -1.1868 2.2892 10.4784
Cl 0.8598 1.9697 7.3587
Cl 2.5759 -0.1168 10.4784
```

=====

Density functional theory data (GGA-PBE) for crystalline NaAg2SnCl6 at its relaxed geometry.

Results
E_tot	-0.114	hartree per atom
space-group type	No. 15
ΔE_f (raw)	-86	kJ per mole of atoms

Geometry as extended XYZ:
```
20
Lattice="6.4751 -6.0736 0.0000 6.4751 6.0736 0.0000 -1.0430 0.0000 7.1196" Properties=species:S:1:pos:R:3 pbc="T T T"
Na 5.6929 5.0162 5.3397
Na 6.2143 -5.0162 1.7799
Ag 3.4068 1.1543 4.9692
Ag 3.9283 -1.1543 1.4094
Ag 7.9789 1.1543 5.7102
Ag 8.5004 -1.1543 2.1504
Sn 6.2143 2.9515 1.7799
Sn 5.6929 -2.9515 5.3397
Cl 0.8337 1.1441 4.4452
Cl 4.0311 3.0943 6.5131
Cl 1.3551 -1.1441 0.8853
Cl 4.4740 1.1129 2.6092
Cl 7.3546 3.0943 4.1664
Cl 3.9525 -1.1129 6.1690
Cl 7.9547 1.1129 0.9506
Cl 4.5526 -3.0943 2.9533
Cl 7.4332 -1.1129 4.5104
Cl 10.5520 1.1441 6.2343
Cl 7.8761 -3.0943 0.6066
Cl 11.0735 -1.1441 2.6745
```

=====

Density functional theory data (GGA-PBE) for crystalline NaSr2AgCl6 at its relaxed geometry.

Results
E_tot	-0.139	hartree per atom
space-group type	No. 1
ΔE_f (raw)	-185	kJ per mole of atoms

Geometry as extended XYZ:
```
10
Lattice="7.2096 0.0000 0.0000 -3.6001 6.2510 0.0000 -3.5984 -2.0778 6.4959" Properties=species:S:1:pos:R:3 pbc="T T T"
Na 0.0000 0.0000 0.0000
Sr 0.0053 4.1719 2.5740
Sr 0.0077 0.0071 5.8433
Ag -3.5961 2.0878 3.2817
Cl -2.5882 -0.1286 4.5410
Cl -1.4195 2.0014 1.3000
Cl -2.1825 4.0745 4.5462
Cl 2.4396 0.2325 1.2920
Cl 2.5917 4.0213 1.2946
Cl 1.1938 2.3201 4.5407
```